[1]
The following is a PBE-GGA calculation of a geometry-optimized LiZrRe2 structure, from Alexandria via LeMat-Bulk.

Calculated values
For the total moment, the calculation gives 0.00 μB per formula unit. As for the total energy: -103.482 eV per cell. For the energy of formation from the pure elements, the calculation gives 21 kJ/mol of atoms. The energy relative to the lowest polymorph listed for this composition comes out at 136 meV per atom. The calculated volume comes out at 205.1 Å³/cell.

Unit cell a=2.8286 b=2.8286 c=29.5961 alpha=90.00 beta=90.00 gamma=120.00
With the nearest neighbours (Å) after each atom.
Space group R3m (No. 160, hexagonal axes)
Asymmetric unit:
Li (0.0000, 0.0000, 0.0000) [3 per cell]  6 Li 2.83, 3 Re 2.87
Zr (0.0000, 0.0000, 0.2381) [3 per cell]  6 Zr 2.83, 3 Re 3.08
Re (0.0000, 0.0000, 0.4831) [3 per cell]  9 Re 2.64-2.83
Re (0.0000, 0.0000, 0.7465) [3 per cell]  9 Re 2.64-2.83, 3 Li 2.87

[2]
The following is a PBE-GGA calculation of a geometry-optimized Ba2Al5Zn3 structure, from Alexandria via LeMat-Bulk.

Calculated values
For the total moment, the calculation gives 0.00 μB per formula unit. As for the total energy: -115.023 eV per cell. For the energy of formation from the pure elements, the calculation gives -23 kJ/mol of atoms. The energy relative to the lowest polymorph listed for this composition comes out at 0 meV per atom. The calculated volume comes out at 919.6 Å³/cell.

Unit cell a=11.3564 b=12.7368 c=6.3580 alpha=90.00 beta=90.00 gamma=90.00
With the nearest neighbours (Å) after each atom.
Space group Ibam (No. 72)
Asymmetric unit:
Ba (0.2449, 0.1255, 0.0000) [8 per cell]  6 Zn 3.42-3.58, 10 Al 3.45-3.67
Al (0.0000, 0.2595, 0.2500) [8 per cell]  2 Zn 2.68, 2 Al 2.73
Al (0.0000, 0.5000, 0.2500) [4 per cell]  4 Zn 2.69
Al (0.1261, 0.1266, 0.5000) [8 per cell]  3 Zn 2.68-2.71, 2 Al 2.73
Zn (0.0000, 0.0000, 0.2500) [4 per cell]  4 Al 2.68
Zn (0.1350, 0.3792, 0.0000) [8 per cell]  5 Al 2.68-2.71

[3]
The following is a PBE-GGA calculation of a geometry-optimized Ba2GaSn3Hg4 structure, from Alexandria via LeMat-Bulk.

Calculated values
For the total moment, the calculation gives 0.00 μB per formula unit. As for the total energy: -23.921 eV per cell. For the energy of formation from the pure elements, the calculation gives -37 kJ/mol of atoms. The calculated volume comes out at 296.7 Å³/cell.

Unit cell a=4.9981 b=4.9981 c=11.8761 alpha=90.00 beta=90.00 gamma=90.00
With the nearest neighbours (Å) after each atom.
Space group P-4m2 (No. 115)
Asymmetric unit:
Ba (0.0000, 0.5000, 0.2485) [2 per cell]  6 Sn 3.79-3.89, 8 Hg 3.83-3.87, 2 Ga 3.89
Ga (0.0000, 0.0000, 0.5000) [1 per cell]  4 Hg 2.92
Sn (0.0000, 0.5000, 0.8660) [2 per cell]  5 Hg 2.85-2.96
Sn (0.5000, 0.5000, 0.5000) [1 per cell]  4 Hg 2.92
Hg (0.0000, 0.0000, 0.0000) [1 per cell]  4 Sn 2.96
Hg (0.0000, 0.5000, 0.6264) [2 per cell]  3 Sn 2.85-2.92, 2 Ga 2.92
Hg (0.5000, 0.5000, 0.0000) [1 per cell]  4 Sn 2.96

[4]
The following is a PBE-GGA calculation of a geometry-optimized ZnHg2Ir structure, from Alexandria via LeMat-Bulk.

Calculated values
For the total moment, the calculation gives 0.00 μB per formula unit. As for the total energy: -19.145 eV per cell. For the energy of formation from the pure elements, the calculation gives 28 kJ/mol of atoms. The calculated volume comes out at 151.2 Å³/cell.

Unit cell a=2.9915 b=5.1023 c=9.9042 alpha=90.00 beta=90.00 gamma=90.00
With the nearest neighbours (Å) after each atom.
Space group Cmm2 (No. 35)
Asymmetric unit:
Zn (0.0000, 0.0000, 0.0000) [2 per cell]  2 Ir 2.50
Hg (0.0000, 0.0000, 0.4506) [2 per cell]  2 Ir 2.88, 6 Hg 2.96-2.99
Hg (0.0000, 0.5000, 0.7480) [2 per cell]  2 Zn 2.91, 6 Hg 2.96-2.99
Ir (0.0000, 0.5000, 0.2023) [2 per cell]  2 Zn 2.50

[5]
The following is a PBE-GGA calculation of a geometry-optimized Zr2InBr structure, from Alexandria via LeMat-Bulk.

Calculated values
For the total moment, the calculation gives 0.00 μB per formula unit. As for the total energy: -68.149 eV per cell. The energy relative to the lowest polymorph listed for this composition comes out at 117 meV per atom. The calculated volume comes out at 266.6 Å³/cell. The formation energy (no corrections) is -0.30 eV per atom.

Unit cell a=3.2721 b=3.2721 c=28.7535 alpha=90.00 beta=90.00 gamma=120.00
With the nearest neighbours (Å) after each atom.
Space group R-3m (No. 166, hexagonal axes)
Asymmetric unit:
Zr (0.0000, 0.0000, 0.2455) [6 per cell]  3 Br 2.95, 3 In 3.15, 6 Zr 3.27
In (0.0000, 0.0000, 0.0000) [3 per cell]  6 Zr 3.15, 6 In 3.27
Br (0.0000, 0.0000, 0.5000) [3 per cell]  6 Zr 2.95, 6 Br 3.27

[6]
The following is a PBE-GGA calculation of a geometry-optimized Sm4AlZn structure, from Alexandria via LeMat-Bulk.

Calculated values
For the total moment, the calculation gives 0.70 μB per formula unit. As for the total energy: -50.159 eV per cell. For the energy of formation from the pure elements, the calculation gives -19 kJ/mol of atoms. The energy relative to the lowest polymorph listed for this composition comes out at 0 meV per atom. The calculated volume comes out at 335.9 Å³/cell.

Unit cell a=12.9185 b=3.6700 c=7.3962 alpha=90.00 beta=106.66 gamma=90.00
With the nearest neighbours (Å) after each atom.
Space group C2/m (No. 12)
Asymmetric unit:
Sm (0.1432, 0.0000, 0.3246) [4 per cell]  2 Zn 3.14, 2 Al 3.16
Sm (0.1475, 0.0000, 0.8203) [4 per cell]  2 Zn 3.17, 2 Al 3.20
Al (0.0000, 0.5000, 0.0000) [2 per cell]  8 Sm 3.16-3.20
Zn (0.0000, 0.5000, 0.5000) [2 per cell]  8 Sm 3.14-3.17

[7]
The following is a PBE-GGA calculation of a geometry-optimized KBiCl2 structure, from Alexandria via LeMat-Bulk.

Calculated values
For the total moment, the calculation gives 0.00 μB per formula unit. As for the total energy: -47.714 eV per cell. The energy relative to the lowest polymorph listed for this composition comes out at 305 meV per atom. The calculated volume comes out at 604.5 Å³/cell. The formation energy (no corrections) is -0.81 eV per atom.

Unit cell a=5.8064 b=5.8064 c=17.9304 alpha=90.00 beta=90.00 gamma=90.00
With the nearest neighbours (Å) after each atom.
Space group I-42d (No. 122)
Asymmetric unit:
K (0.0000, 0.0000, 0.0000) [4 per cell]  4 Cl 3.20
Bi (0.0000, 0.0000, 0.5000) [4 per cell]  4 Cl 2.90
Cl (0.1963, 0.2500, 0.6250) [8 per cell]  2 Bi 2.90, 2 K 3.20

[8]
The following is a PBE-GGA calculation of a geometry-optimized MgScAs2 structure, from Alexandria via LeMat-Bulk.

Calculated values
For the total moment, the calculation gives 0.00 μB per formula unit. As for the total energy: -19.745 eV per cell. For the energy of formation from the pure elements, the calculation gives -61 kJ/mol of atoms. The calculated volume comes out at 80.7 Å³/cell.

Unit cell a=3.6963 b=3.0453 c=7.2806 alpha=90.00 beta=99.92 gamma=90.00
With the nearest neighbours (Å) after each atom.
Space group P2/m (No. 10)
Asymmetric unit:
Mg (0.0000, 0.0000, 0.0000) [1 per cell]  4 As 2.73, 2 Mg 3.05
Sc (0.0000, 0.0000, 0.5000) [1 per cell]  8 As 2.92-2.93, 2 Sc 3.05
As (0.4232, 0.5000, 0.2661) [2 per cell]  2 Mg 2.73, 4 Sc 2.92-2.93, 2 As 3.05

[9]
The following is a PBE-GGA calculation of a geometry-optimized AcUBi2 structure, from Alexandria via LeMat-Bulk.

Calculated values
For the total moment, the calculation gives 2.96 μB per formula unit. As for the total energy: -24.268 eV per cell. For the energy of formation from the pure elements, the calculation gives -27 kJ/mol of atoms. The energy relative to the lowest polymorph listed for this composition comes out at 106 meV per atom. The calculated volume comes out at 127.8 Å³/cell.

Unit cell a=3.9578 b=3.9578 c=8.1595 alpha=90.00 beta=90.00 gamma=90.00
With the nearest neighbours (Å) after each atom.
Space group P4/mmm (No. 123)
Asymmetric unit:
Ac (0.0000, 0.0000, 0.0000) [1 per cell]  8 Bi 3.57, 4 Ac 3.96
U (0.0000, 0.0000, 0.5000) [1 per cell]  8 Bi 3.36
Bi (0.5000, 0.5000, 0.2726) [2 per cell]  4 U 3.36, 4 Ac 3.57, 1 Bi 3.71

[10]
The following is a PBE-GGA calculation of a geometry-optimized SbRuF2 structure, from Alexandria via LeMat-Bulk.

Calculated values
For the total moment, the calculation gives 0.00 μB per formula unit. As for the total energy: -77.052 eV per cell. The energy relative to the lowest polymorph listed for this composition comes out at 132 meV per atom. The calculated volume comes out at 260.4 Å³/cell. The formation energy (no corrections) is -0.53 eV per atom.

Unit cell a=7.1452 b=7.1452 c=5.1013 alpha=90.00 beta=90.00 gamma=90.00
With the nearest neighbours (Å) after each atom.
Space group I-42d (No. 122)
Asymmetric unit:
Sb (0.0000, 0.0000, 0.0000) [4 per cell]  2 Ru 2.55, 4 F 2.85
Ru (0.0000, 0.0000, 0.5000) [4 per cell]  4 F 2.20
F (0.1568, 0.2500, 0.6250) [8 per cell]  2 Ru 2.20

[11]
The following is a PBE-GGA calculation of a geometry-optimized ZrAg2Se structure, from Alexandria via LeMat-Bulk.

Calculated values
For the total moment, the calculation gives 0.56 μB per formula unit. As for the total energy: -18.313 eV per cell. The calculated volume comes out at 81.2 Å³/cell. The formation energy (no corrections) is -0.14 eV per atom.

Unit cell a=3.8460 b=3.8460 c=5.4888 alpha=90.00 beta=90.00 gamma=90.00
With the nearest neighbours (Å) after each atom.
Space group P4/mmm (No. 123)
Asymmetric unit:
Zr (0.0000, 0.0000, 0.0000) [1 per cell]  2 Se 2.74, 8 Ag 3.04
Ag (0.5000, 0.5000, 0.2458) [2 per cell]  2 Ag 2.70-2.79
Se (0.0000, 0.0000, 0.5000) [1 per cell]  2 Zr 2.74, 8 Ag 3.06

[12]
The following is a PBE-GGA calculation of a geometry-optimized CuAg2Hg2 structure, from Alexandria via LeMat-Bulk.

Calculated values
For the total moment, the calculation gives 0.00 μB per formula unit. As for the total energy: -18.424 eV per cell. For the energy of formation from the pure elements, the calculation gives 23 kJ/mol of atoms. The energy relative to the lowest polymorph listed for this composition comes out at 0 meV per atom. The calculated volume comes out at 202.8 Å³/cell.

Unit cell a=6.8856 b=6.8856 c=4.2769 alpha=90.00 beta=90.00 gamma=90.00
With the nearest neighbours (Å) after each atom.
Space group P4/mbm (No. 127)
Asymmetric unit:
Cu (0.0000, 0.0000, 0.0000) [2 per cell]  4 Ag 2.64
Ag (0.1461, 0.3539, 0.0000) [4 per cell]  2 Cu 2.64, 2 Hg 2.84, 1 Ag 2.84
Hg (0.1628, 0.6628, 0.5000) [4 per cell]  6 Ag 2.84-3.02, 1 Hg 3.17